(1)
The following is a PBE calculation of crystalline HfCo3Ge at its relaxed geometry, from Alexandria.

Cell lengths 4.2612, 4.2612, 4.2612 Å; angles 90.00, 90.00, 90.00 degrees
Atoms (fractional coordinates):
Hf  0.0000  0.0000  0.0000
Co  0.0000  0.5000  0.5000
Co  0.5000  0.0000  0.5000
Co  0.5000  0.5000  0.0000
Ge  0.5000  0.5000  0.5000

The value obtained for the energy above the most stable polymorph in this dataset is 599.9 meV per atom. As for the space group: Pm-3m, No. 221.

---

(2)
The following is a PBE calculation of crystalline HfCo3Ge2 at its relaxed geometry, from Alexandria.

Cell lengths 7.8982, 7.8982, 9.0975 Å; angles 107.35, 107.35, 27.28 degrees
Atoms (fractional coordinates):
Hf  0.0000  0.0000  0.0000
Hf  0.1626  0.1626  0.7040
Hf  0.8374  0.8374  0.2960
Co  0.0434  0.0434  0.3356
Co  0.2128  0.2128  0.3925
Co  0.3183  0.3183  0.0343
Co  0.3844  0.3844  0.8058
Co  0.5000  0.5000  0.5000
Co  0.6156  0.6156  0.1942
Co  0.6817  0.6817  0.9657
Co  0.7872  0.7872  0.6075
Co  0.9566  0.9566  0.6644
Ge  0.1943  0.1943  0.1299
Ge  0.3607  0.3607  0.5404
Ge  0.4591  0.4591  0.2174
Ge  0.5409  0.5409  0.7826
Ge  0.6393  0.6393  0.4596
Ge  0.8057  0.8057  0.8701

As for the space group: C2/m, No. 12.

---

Going through the records in order, we get energy of formation from the pure elements values of 0.379 -0.389 eV per atom.
Going through the records in order, we get total energy values of -6.7984 -7.1398 eV/atom.